KPPbCl2 | Alexandria | PBE-GGA | optimized geometry; V = 193.1 Å³ per cell; formation energy without anion corrections = -520 meV/atom; density = 2.99 Mg/m³
1.0
5.654 0.000 0.000
0.000 5.654 0.000
0.000 0.000 6.039
K P Pb Cl
1 1 1 2
direct
0.000 0.000 0.000
0.500 0.500 0.000
0.500 0.500 0.500
0.000 0.500 0.500
0.500 0.000 0.500

CsAlHO2 | Alexandria | PBE-GGA | optimized geometry; raw total energy = -2.820 eV/atom; V = 89.7 Å³ per cell; density = 3.57 Mg/m³
1.0
4.644 0.000 0.000
0.000 4.644 0.000
0.000 0.000 4.157
Cs Al H O
1 1 1 2
direct
0.000 0.000 0.000
0.500 0.500 0.500
0.000 0.000 0.500
0.000 0.500 0.000
0.500 0.000 0.000

RbNaAuCl3 | Alexandria | PBE-GGA | optimized geometry; V = 395.2 Å³ per cell; formation energy without anion corrections = -1235 meV/atom; density = 3.46 Mg/m³
1.0
8.601 -3.583 0.000
8.601 3.583 0.000
-1.213 0.000 6.412
Rb Na Au Cl
2 2 2 6
direct
0.248 0.248 0.212
0.752 0.752 0.788
0.431 0.431 0.815
0.569 0.569 0.185
0.237 0.763 0.500
0.763 0.237 0.500
0.177 0.675 0.169
0.279 0.279 0.720
0.325 0.823 0.831
0.675 0.177 0.169
0.721 0.721 0.280
0.823 0.325 0.831

| no. | DOS at the Fermi energy (states/eV/cell) |
| --- | --- |
| 1 | 2.7 |
| 2 | 1.6 |
| 3 | 0.0 |